# YMg2GaPd2

Crystalline YMg2GaPd2 at its relaxed geometry (GGA-PBE, Alexandria).

Properties
The total energy comes out at -25.041 eV for the cell shown.

abc: 6.3804 6.3804 6.3804
angles: 132.73 132.73 69.08
Closest atoms and distances in Å follow each position.
Sites, in units of the cell vectors:
Y1 0.0000 0.0000 0.0000  2 Pd 2.85
Mg1 0.2500 0.7500 0.5000  4 Pd 2.57
Mg2 0.7500 0.2500 0.5000  4 Pd 2.57
Ga1 0.5000 0.5000 0.0000  2 Pd 2.41
Pd1 0.2710 0.2710 0.0000  1 Ga 2.41, 4 Mg 2.57
Pd2 0.7290 0.7290 0.0000  1 Ga 2.41, 4 Mg 2.57